No. 1
VASP calculation (GGA-PBE) on crystalline YSiBRu2 at its relaxed geometry.

POSCAR file:
```
YSiBRu2
1.0
4.292 0.000 0.000
0.000 4.292 0.000
0.000 0.000 4.029
Y Si B Ru
1 1 1 2
direct
0.000 0.000 0.000
0.500 0.500 0.000
0.500 0.500 0.500
0.000 0.500 0.500
0.500 0.000 0.500
```

Calculated values
- E_tot: -37.9 eV/f.u.
- E_form (uncorrected): -0.17 eV per atom
- Polymorph energy (0 for the lowest one): 465 meV per atom

No. 2
VASP calculation (GGA-PBE) on crystalline YSiBRu2 at its relaxed geometry.

POSCAR file:
```
YSiBRu2
1.0
1.964 -5.566 0.000
1.964 5.566 0.000
0.000 0.000 7.171
Y Si B Ru
2 2 2 4
direct
0.050 0.950 0.750
0.950 0.050 0.250
0.229 0.771 0.250
0.771 0.229 0.750
0.500 0.500 0.000
0.500 0.500 0.500
0.330 0.670 0.560
0.330 0.670 0.940
0.670 0.330 0.060
0.670 0.330 0.440
```

Calculated values
- E_tot: -40.3 eV/f.u.
- E_form (uncorrected): -0.63 eV per atom
- Polymorph energy (0 for the lowest one): 0 meV per atom

No. 3
VASP calculation (GGA-PBE) on crystalline Y2Si2BRu2 at its relaxed geometry.

POSCAR file:
```
Y2Si2BRu2
1.0
5.410 -2.076 0.000
5.410 2.076 0.000
-4.339 0.000 5.416
Y Si B Ru
2 2 1 2
direct
0.065 0.065 0.329
0.935 0.935 0.671
0.346 0.346 0.899
0.654 0.654 0.101
0.500 0.500 0.500
0.287 0.287 0.182
0.713 0.713 0.818
```

Calculated values
- E_tot: -54.8 eV/f.u.
- E_form (uncorrected): -0.83 eV per atom

No. 4
VASP calculation (GGA-PBE) on crystalline SmB3Ru2 at its relaxed geometry.

POSCAR file:
```
SmB3Ru2
1.0
4.350 -3.025 0.000
4.350 3.025 0.000
0.000 0.000 5.528
Sm B Ru
2 6 4
direct
0.165 0.835 0.750
0.835 0.165 0.250
0.034 0.621 0.250
0.359 0.641 0.250
0.379 0.966 0.250
0.621 0.034 0.750
0.641 0.359 0.750
0.966 0.379 0.750
0.303 0.303 0.000
0.303 0.303 0.500
0.697 0.697 0.000
0.697 0.697 0.500
```

Calculated values
- E_form: -0.4511 eV/atom
- E_tot: -46.0 eV/f.u.

No. 5
VASP calculation (GGA-PBE) on crystalline Sm3B7Ru at its relaxed geometry.

POSCAR file:
```
Sm3B7Ru
1.0
1.790 -8.053 0.000
1.790 8.053 0.000
0.000 0.000 9.493
Sm B Ru
6 14 2
direct
0.105 0.895 0.561
0.105 0.895 0.939
0.244 0.756 0.250
0.756 0.244 0.750
0.895 0.105 0.061
0.895 0.105 0.439
0.273 0.727 0.533
0.273 0.727 0.967
0.369 0.631 0.652
0.369 0.631 0.848
0.463 0.537 0.250
0.477 0.523 0.599
0.477 0.523 0.901
0.523 0.477 0.099
0.523 0.477 0.401
0.537 0.463 0.750
0.631 0.369 0.152
0.631 0.369 0.348
0.727 0.273 0.033
0.727 0.273 0.467
0.056 0.944 0.250
0.944 0.056 0.750
```

Calculated values
- E_form: -0.5124 eV/atom
- E_tot: -75.8 eV/f.u.

No. 6
VASP calculation (GGA-PBE) on crystalline Sm2B4Ru3 at its relaxed geometry.

POSCAR file:
```
Sm2B4Ru3
1.0
0.000 4.702 5.211
2.816 0.000 5.211
2.816 4.702 0.000
Sm B Ru
2 4 3
direct
0.156 0.156 0.844
0.844 0.844 0.156
0.191 0.543 0.457
0.457 0.809 0.191
0.543 0.191 0.809
0.809 0.457 0.543
0.000 0.000 0.500
0.500 0.500 0.000
0.500 0.500 0.500
```

Calculated values
- E_form: 0.0427 eV/atom
- E_tot: -63.6 eV/f.u.

No. 7
VASP calculation (GGA-PBE) on crystalline SmB3Ru3 at its relaxed geometry.

POSCAR file:
```
SmB3Ru3
1.0
6.629 0.000 0.000
0.000 7.389 0.000
-0.515 0.000 7.640
Sm B Ru
4 12 12
direct
0.042 0.000 0.244
0.362 0.430 0.206
0.638 0.930 0.794
0.958 0.500 0.756
0.035 0.828 0.897
0.067 0.664 0.382
0.256 0.755 0.743
0.361 0.261 0.848
0.381 0.099 0.019
0.419 0.026 0.473
0.581 0.526 0.527
0.619 0.599 0.981
0.639 0.761 0.152
0.744 0.255 0.257
0.933 0.164 0.618
0.965 0.328 0.103
0.009 0.889 0.613
0.084 0.125 0.897
0.246 0.215 0.584
0.336 0.786 0.011
0.356 0.744 0.479
0.449 0.517 0.762
0.551 0.017 0.238
0.644 0.244 0.521
0.664 0.286 0.989
0.754 0.715 0.416
0.916 0.625 0.103
0.991 0.389 0.387
```

Calculated values
- E_form: -0.2852 eV/atom
- E_tot: -54.6 eV/f.u.

No. 8
VASP calculation (GGA-PBE) on crystalline Sm2BRu2 at its relaxed geometry.

POSCAR file:
```
Sm2BRu2
1.0
5.538 -2.837 0.000
5.538 2.837 0.000
-1.345 0.000 5.998
Sm B Ru
4 2 4
direct
0.004 0.724 0.890
0.276 0.996 0.610
0.724 0.004 0.390
0.996 0.276 0.110
0.458 0.542 0.250
0.542 0.458 0.750
0.256 0.500 0.468
0.500 0.256 0.968
0.500 0.744 0.032
0.744 0.500 0.532
```

Calculated values
- E_form: -0.2652 eV/atom
- E_tot: -36.0 eV/f.u.

Number 1: volume 74 Å³ per cell. Number 2: volume 157 Å³ per cell. Number 3: volume 122 Å³ per cell. Number 4: volume 145 Å³ per cell. Number 5: volume 274 Å³ per cell. Number 6: volume 138 Å³ per cell. Number 7: volume 374 Å³ per cell. Number 8: volume 188 Å³ per cell.